[1]
A PBEsol-optimized structure of PbCClO2. Source: the Alexandria database, functional meta-GGA SCAN.

Geometry as POSCAR:
```
PbCClO2
1.0
-1.644 3.665 1.014
-3.255 -1.920 1.697
3.655 0.001 8.624
Cl Pb O C
2 2 4 2
Cartesian
1.909 0.474 8.372
-3.153 1.272 2.962
-0.937 1.348 8.810
-0.307 0.398 2.525
-1.118 -0.521 4.714
-0.372 2.065 4.397
-0.872 -0.319 6.938
-0.126 2.267 6.621
-0.409 1.610 5.577
-0.835 0.136 5.758
```

Magnetic moment   0.00 μB/cell
E_tot   -22.53 eV/atom
Raw formation energy   -1.270 eV per atom
Space group   C2/m, No. 12

[2]
A PBEsol-optimized structure of Sr4CoSe. Source: the Alexandria database, functional meta-GGA SCAN.

Geometry as POSCAR:
```
Sr4CoSe
1.0
-1.230 2.172 -6.210
1.911 -3.662 -5.266
-4.588 -3.081 -3.775
Sr Co Se
4 1 1
Cartesian
-1.465 -1.715 -5.721
-3.757 -3.253 -7.607
-2.080 -0.630 -8.823
-0.511 -3.544 -8.351
-2.930 -3.428 -11.438
0.000 0.000 0.000
```

Magnetic moment   1.10 μB/cell
E_tot   -20.43 eV/atom
Raw formation energy   0.650 eV per atom
Space group   F-43m, No. 216

[3]
A PBEsol-optimized structure of SrW2Br. Source: the Alexandria database, functional meta-GGA SCAN.

Geometry as POSCAR:
```
SrW2Br
1.0
-2.820 -1.417 0.825
2.207 -2.593 3.095
-0.467 6.035 2.320
W Sr Br
2 1 1
Cartesian
-0.873 0.391 4.137
-0.206 1.634 2.102
-0.306 -2.005 1.960
0.000 0.000 0.000
```

Magnetic moment   0.00 μB/cell
E_tot   -44.66 eV/atom
Energy above the most stable polymorph in this dataset   0.0000 eV/atom
Raw formation energy   0.618 eV per atom
Space group   C2/m, No. 12